Density functional theory data (GGA-PBE) for a relaxed Ac7SiSn4 crystal.

The structure belongs to space group C2/m (No. 12); the cell edges are 16.7514, 5.9181 and 11.9843 Å and the angles 90.00°, 126.66° and 90.00°. The asymmetric unit holds Ac at (0.0000, 0.0000, 0.0000), Ac at (0.0736, 0.5000, 0.2974), Ac at (0.1483, 0.0000, 0.5622), Ac at (0.2108, 0.5000, 0.8666), Si at (0.0000, 0.5000, 0.0000), Sn at (0.0789, 0.0000, 0.7781) and Sn at (0.2212, 0.0000, 0.3433).

The volume is 953 Å³/cell. As for the electronic total energy: -4.579 eV per atom. The value obtained for the magnetic moment is 0.00 μB/f.u.